Compound: Na2GeBrCl
Source: the Alexandria database
Functional: PBE-GGA
Structure: relaxed

Output
Space-group type: No. 123
Total moment in μB/cell: 0.00
VASP energy in eV per atom: -2.551
Calculated density in Mg/m³: 2.2
Energy relative to the elements, uncorrected in eV/atom: -0.396

Cell lengths 5.899, 5.899, 5.050 Å; angles 90.00, 90.00, 90.00 degrees
Atoms (fractional coordinates):
Na  0.000  0.500  0.000
Na  0.500  0.000  0.000
Ge  0.000  0.000  0.000
Br  0.000  0.000  0.500
Cl  0.500  0.500  0.500